Entry 1:
# YHoSi2Mo2C PBE relaxed
# Density   6.93 g/cm3
# DFT total energy   -114.02 eV for the cell shown
# Spin magnetization   0.000 μB per atom
data_YHoSi2Mo2C
_chemical_formula_sum 'Y2 Ho2 Si4 Mo4 C2'
_symmetry_space_group_name_H-M 'C 1 m 1'
_symmetry_Int_Tables_number 8
_cell_length_a 11.1377
_cell_length_b 3.8103
_cell_length_c 7.1381
_cell_angle_alpha 90.00
_cell_angle_beta 125.63
_cell_angle_gamma 90.00
loop_
_symmetry_equiv_pos_as_xyz
'x,y,z'
'x,-y,z'
'x+1/2,y+1/2,z'
'x+1/2,-y+1/2,z'
loop_
_atom_site_label
_atom_site_type_symbol
_atom_site_fract_x
_atom_site_fract_y
_atom_site_fract_z
_atom_site_occupancy
Y1 Y 0.0000 0.0000 0.0000 1
Ho1 Ho 0.3503 0.5000 0.4085 1
Si1 Si 0.0559 0.5000 0.3674 1
Si2 Si 0.2935 0.0000 0.0403 1
Mo1 Mo 0.1305 0.5000 0.7875 1
Mo2 Mo 0.2187 0.0000 0.6188 1
C1 C 0.4242 0.0000 0.7018 1

Entry 2:
# Cu2BPb PBE relaxed
# Density   9.32 g/cm3
# DFT total energy   -59.48 eV for the cell shown
data_Cu2BPb
_chemical_formula_sum 'Cu8 B4 Pb4'
_symmetry_space_group_name_H-M 'P m -3 m'
_symmetry_Int_Tables_number 221
_symmetry_space_group_name_Hall '-P 4 2 3'
_cell_length_a 6.2643
_cell_length_b 6.2643
_cell_length_c 6.2643
_cell_angle_alpha 90.00
_cell_angle_beta 90.00
_cell_angle_gamma 90.00
loop_
_atom_site_label
_atom_site_type_symbol
_atom_site_fract_x
_atom_site_fract_y
_atom_site_fract_z
_atom_site_occupancy
Cu1 Cu 0.1972 0.1972 0.1972 1
B1 B 0.0000 0.0000 0.0000 1
B2 B 0.0000 0.0000 0.5000 1
Pb1 Pb 0.0000 0.5000 0.5000 1
Pb2 Pb 0.5000 0.5000 0.5000 1

Entry 3:
# TcSe PBE relaxed
# Density   9.23 g/cm3
# Spin magnetization   0.001 μB per atom
# E above lowest polymorph   0.000 eV per atom
data_TcSe
_chemical_formula_sum 'Tc1 Se1'
_symmetry_space_group_name_H-M 'P -6 m 2'
_symmetry_Int_Tables_number 187
_symmetry_space_group_name_Hall 'P -6 2'
_cell_length_a 3.1315
_cell_length_b 3.1315
_cell_length_c 3.7468
_cell_angle_alpha 90.00
_cell_angle_beta 90.00
_cell_angle_gamma 120.00
loop_
_atom_site_label
_atom_site_type_symbol
_atom_site_fract_x
_atom_site_fract_y
_atom_site_fract_z
_atom_site_occupancy
Tc1 Tc 0.0000 0.0000 0.0000 1
Se1 Se 0.3333 0.6667 0.5000 1

Number 2 is which compound?
Cu2BPb

The lowest density belongs to which entry?
YHoSi2Mo2C

What is the density in the second record?
9.32 g/cm3